PaCu2Pd (GGA-PBE, optimized geometry); energy = -5.983 eV per atom; energy relative to the elements = -263 meV/atom; calculated volume = 17.02 Å³/atom; total magnetic moment = 0.00 μB/f.u.
1.0
-3.340 1.834 1.277
-0.692 -5.142 -0.747
1.869 -1.216 6.634
Cu Pa Pd
4 2 2
direct
0.893 0.786 0.000
0.026 0.052 0.310
0.459 0.918 0.500
0.026 0.052 0.690
0.598 0.196 0.000
0.741 0.482 0.500
0.293 0.586 0.796
0.293 0.586 0.204